No. 1
Below is crystalline Li3La2TcNi12 at its relaxed geometry, with properties calculated at the PBE level.

Cell lengths 9.2926, 9.2926, 9.2926 Å; angles 37.53, 37.53, 37.53 degrees
With the nearest neighbours (Å) after each atom.
Fractional coordinates of all 18 atoms:
Li  0.0000  0.5000  0.5000  6 Ni 2.30-2.49
Li  0.5000  0.0000  0.5000  6 Ni 2.30-2.49
Li  0.5000  0.5000  0.0000  6 Ni 2.30-2.49
La  0.1481  0.1481  0.1481  6 Ni 2.93-3.02
La  0.8519  0.8519  0.8519  6 Ni 2.93-3.02
Tc  0.5000  0.5000  0.5000  6 Ni 2.38
Ni  0.0829  0.0829  0.6913  2 Li 2.30, 4 Ni 2.34-2.38
Ni  0.0829  0.6913  0.0829  2 Li 2.30, 4 Ni 2.34-2.38
Ni  0.1363  0.5756  0.5756  4 Ni 2.38-2.63, 1 Tc 2.38, 1 Li 2.49
Ni  0.3087  0.9171  0.9171  2 Li 2.30, 4 Ni 2.34-2.38
Ni  0.4244  0.4244  0.8637  4 Ni 2.38-2.63, 1 Tc 2.38, 1 Li 2.49
Ni  0.4244  0.8637  0.4244  4 Ni 2.38-2.63, 1 Tc 2.38, 1 Li 2.49
Ni  0.5756  0.1363  0.5756  4 Ni 2.38-2.63, 1 Tc 2.38, 1 Li 2.49
Ni  0.5756  0.5756  0.1363  4 Ni 2.38-2.63, 1 Tc 2.38, 1 Li 2.49
Ni  0.6913  0.0829  0.0829  2 Li 2.30, 4 Ni 2.34-2.38
Ni  0.8637  0.4244  0.4244  4 Ni 2.38-2.63, 1 Tc 2.38, 1 Li 2.49
Ni  0.9171  0.3087  0.9171  2 Li 2.30, 4 Ni 2.34-2.38
Ni  0.9171  0.9171  0.3087  2 Li 2.30, 4 Ni 2.34-2.38

## Properties
E_form in eV/atom: 0.19
Mass density in g cm⁻³: 6.8



No. 2
Below is crystalline Ac3Ge5As12 at its relaxed geometry, with properties calculated at the PBE level.

Cell lengths 14.1704, 14.1704, 14.1704 Å; angles 109.47, 109.47, 109.47 degrees
With the nearest neighbours (Å) after each atom.
Fractional coordinates of all 80 atoms:
Ac  0.1250  0.2500  0.3750  8 As 3.14-3.25
Ac  0.1250  0.3750  0.7500  8 As 3.14-3.25
Ac  0.2500  0.3750  0.1250  8 As 3.14-3.25
Ac  0.2500  0.8750  0.6250  8 As 3.14-3.25
Ac  0.3750  0.1250  0.2500  8 As 3.14-3.25
Ac  0.3750  0.7500  0.1250  8 As 3.14-3.25
Ac  0.6250  0.2500  0.8750  8 As 3.14-3.25
Ac  0.6250  0.8750  0.7500  8 As 3.14-3.25
Ac  0.7500  0.1250  0.3750  8 As 3.14-3.25
Ac  0.7500  0.6250  0.8750  8 As 3.14-3.25
Ac  0.8750  0.6250  0.2500  8 As 3.14-3.25
Ac  0.8750  0.7500  0.6250  8 As 3.14-3.25
Ge  0.0000  0.0000  0.0000  6 As 2.66
Ge  0.0000  0.0000  0.5000  6 As 2.66
Ge  0.0000  0.5000  0.0000  6 As 2.66
Ge  0.0000  0.5000  0.5000  6 As 2.66
Ge  0.1250  0.7500  0.8750  4 As 2.49
Ge  0.1250  0.8750  0.2500  4 As 2.49
Ge  0.2500  0.1250  0.8750  4 As 2.49
Ge  0.2500  0.6250  0.3750  4 As 2.49
Ge  0.3750  0.2500  0.6250  4 As 2.49
Ge  0.3750  0.6250  0.7500  4 As 2.49
Ge  0.5000  0.0000  0.0000  6 As 2.66
Ge  0.5000  0.0000  0.5000  6 As 2.66
Ge  0.5000  0.5000  0.0000  6 As 2.66
Ge  0.5000  0.5000  0.5000  6 As 2.66
Ge  0.6250  0.3750  0.2500  4 As 2.49
Ge  0.6250  0.7500  0.3750  4 As 2.49
Ge  0.7500  0.3750  0.6250  4 As 2.49
Ge  0.7500  0.8750  0.1250  4 As 2.49
Ge  0.8750  0.1250  0.7500  4 As 2.49
Ge  0.8750  0.2500  0.1250  4 As 2.49
As  0.0299  0.2086  0.1141  2 Ge 2.49-2.66
As  0.0299  0.3212  0.9158  2 Ge 2.49-2.66
As  0.0842  0.6141  0.4054  2 Ge 2.49-2.66
As  0.0842  0.9701  0.6788  2 Ge 2.49-2.66
As  0.0946  0.7086  0.6788  2 Ge 2.49-2.66
As  0.0946  0.8859  0.4158  2 Ge 2.49-2.66
As  0.1141  0.0299  0.2086  2 Ge 2.49-2.66
As  0.1141  0.5842  0.9054  2 Ge 2.49-2.66
As  0.1788  0.2086  0.5946  2 Ge 2.49-2.66
As  0.1788  0.4701  0.5842  2 Ge 2.49-2.66
As  0.2086  0.1141  0.0299  2 Ge 2.49-2.66
As  0.2086  0.5946  0.1788  2 Ge 2.49-2.66
As  0.2914  0.3212  0.9054  2 Ge 2.49-2.66
As  0.2914  0.4701  0.3859  2 Ge 2.49-2.66
As  0.3212  0.9054  0.2914  2 Ge 2.49-2.66
As  0.3212  0.9158  0.0299  2 Ge 2.49-2.66
As  0.3859  0.2914  0.4701  2 Ge 2.49-2.66
As  0.3859  0.5946  0.9158  2 Ge 2.49-2.66
As  0.4054  0.0842  0.6141  2 Ge 2.49-2.66
As  0.4054  0.8212  0.7914  2 Ge 2.49-2.66
As  0.4158  0.0946  0.8859  2 Ge 2.49-2.66
As  0.4158  0.8212  0.5299  2 Ge 2.49-2.66
As  0.4701  0.3859  0.2914  2 Ge 2.49-2.66
As  0.4701  0.5842  0.1788  2 Ge 2.49-2.66
As  0.5299  0.4158  0.8212  2 Ge 2.49-2.66
As  0.5299  0.6141  0.7086  2 Ge 2.49-2.66
As  0.5842  0.1788  0.4701  2 Ge 2.49-2.66
As  0.5842  0.9054  0.1141  2 Ge 2.49-2.66
As  0.5946  0.1788  0.2086  2 Ge 2.49-2.66
As  0.5946  0.9158  0.3859  2 Ge 2.49-2.66
As  0.6141  0.4054  0.0842  2 Ge 2.49-2.66
As  0.6141  0.7086  0.5299  2 Ge 2.49-2.66
As  0.6788  0.0842  0.9701  2 Ge 2.49-2.66
As  0.6788  0.0946  0.7086  2 Ge 2.49-2.66
As  0.7086  0.5299  0.6141  2 Ge 2.49-2.66
As  0.7086  0.6788  0.0946  2 Ge 2.49-2.66
As  0.7914  0.4054  0.8212  2 Ge 2.49-2.66
As  0.7914  0.8859  0.9701  2 Ge 2.49-2.66
As  0.8212  0.5299  0.4158  2 Ge 2.49-2.66
As  0.8212  0.7914  0.4054  2 Ge 2.49-2.66
As  0.8859  0.4158  0.0946  2 Ge 2.49-2.66
As  0.8859  0.9701  0.7914  2 Ge 2.49-2.66
As  0.9054  0.1141  0.5842  2 Ge 2.49-2.66
As  0.9054  0.2914  0.3212  2 Ge 2.49-2.66
As  0.9158  0.0299  0.3212  2 Ge 2.49-2.66
As  0.9158  0.3859  0.5946  2 Ge 2.49-2.66
As  0.9701  0.6788  0.0842  2 Ge 2.49-2.66
As  0.9701  0.7914  0.8859  2 Ge 2.49-2.66

## Properties
E_form in eV/atom: -0.10
Mass density in g cm⁻³: 5.9